1.
Computed, not measured: a relaxed structure of KZrRe at the PBE level of DFT.

## Properties
As for the electronic total energy: -0.4857 Ry/atom. The calculation puts the energy relative to the lowest polymorph listed for this composition at 0.000 eV/atom. As for the formation energy: 0.7557 eV/atom. The theoretical density is 7.25 g cm⁻³.

Lattice parameters (Å, degrees): 3.3850 5.0866 16.8384 90.00 90.00 90.00
With the nearest neighbours (Å) after each atom.
Sites, in units of the cell vectors:
K (0.0000, 0.0000, 0.0000)  6 K 3.06-3.39, 2 Re 3.35
K (0.0000, 0.5000, 0.5000)  6 K 3.06-3.39, 2 Re 3.35
K (0.5000, 0.0000, 0.5000)  6 K 3.06-3.39, 2 Re 3.35
K (0.5000, 0.5000, 0.0000)  6 K 3.06-3.39, 2 Re 3.35
Zr (0.0000, 0.0000, 0.2895)  2 Re 2.60
Zr (0.0000, 0.5000, 0.7895)  2 Re 2.60
Zr (0.5000, 0.0000, 0.7895)  2 Re 2.60
Zr (0.5000, 0.5000, 0.2895)  2 Re 2.60
Re (0.0000, 0.0000, 0.6720)  2 Zr 2.60
Re (0.0000, 0.5000, 0.1720)  2 Zr 2.60
Re (0.5000, 0.0000, 0.1720)  2 Zr 2.60
Re (0.5000, 0.5000, 0.6720)  2 Zr 2.60

2.
Computed, not measured: a relaxed structure of GaFeP2 at the PBE level of DFT.

## Properties
As for the electronic total energy: -0.4172 Ry/atom. As for the formation energy: -0.0989 eV/atom. The theoretical density is 4.36 g cm⁻³.

Lattice parameters (Å, degrees): 5.2615 5.2615 10.3121 90.00 90.00 90.00
With the nearest neighbours (Å) after each atom.
Sites, in units of the cell vectors:
Ga (0.0000, 0.0000, 0.0000)  4 P 2.40
Ga (0.0000, 0.5000, 0.2500)  4 P 2.40
Ga (0.5000, 0.0000, 0.7500)  4 P 2.40
Ga (0.5000, 0.5000, 0.5000)  4 P 2.40
Fe (0.0000, 0.0000, 0.5000)  4 P 2.14
Fe (0.0000, 0.5000, 0.7500)  4 P 2.14
Fe (0.5000, 0.0000, 0.2500)  4 P 2.14
Fe (0.5000, 0.5000, 0.0000)  4 P 2.14
P (0.2080, 0.2500, 0.6250)  2 Fe 2.14, 2 Ga 2.40
P (0.2500, 0.7080, 0.8750)  2 Fe 2.14, 2 Ga 2.40
P (0.2500, 0.7920, 0.3750)  2 Fe 2.14, 2 Ga 2.40
P (0.2920, 0.2500, 0.1250)  2 Fe 2.14, 2 Ga 2.40
P (0.7080, 0.7500, 0.1250)  2 Fe 2.14, 2 Ga 2.40
P (0.7500, 0.2080, 0.3750)  2 Fe 2.14, 2 Ga 2.40
P (0.7500, 0.2920, 0.8750)  2 Fe 2.14, 2 Ga 2.40
P (0.7920, 0.7500, 0.6250)  2 Fe 2.14, 2 Ga 2.40

3.
Computed, not measured: a relaxed structure of InWSe at the PBE level of DFT.

## Properties
As for the electronic total energy: -0.4584 Ry/atom. The formation energy (no corrections) is 0.155 eV per atom. The calculation puts the energy relative to the lowest polymorph listed for this composition at 0.000 eV/atom. The theoretical density is 10.40 g cm⁻³.

Lattice parameters (Å, degrees): 3.2239 3.2239 6.7004 90.00 90.00 120.00
With the nearest neighbours (Å) after each atom.
Sites, in units of the cell vectors:
In (0.0000, 0.0000, 0.0000)  3 W 2.95, 6 In 3.22, 3 Se 3.29
W (0.6667, 0.3333, 0.6581)  3 Se 2.51
Se (0.3333, 0.6667, 0.4057)  3 W 2.51

4.
Computed, not measured: a relaxed structure of HoTh2Os at the PBE level of DFT.

## Properties
As for the electronic total energy: -0.5487 Ry/atom. The calculation puts the energy relative to the lowest polymorph listed for this composition at 0.424 eV/atom. As for the formation energy: 0.1963 eV/atom. The theoretical density is 9.98 g cm⁻³.

Lattice parameters (Å, degrees): 3.9167 3.9167 30.7836 90.00 90.00 120.00
With the nearest neighbours (Å) after each atom.
Sites, in units of the cell vectors:
Ho (0.0000, 0.0000, 0.0000)  2 Th 3.49
Ho (0.3333, 0.6667, 0.6667)  2 Th 3.49
Ho (0.6667, 0.3333, 0.3333)  2 Th 3.49
Th (0.0000, 0.0000, 0.1132)  3 Os 2.80
Th (0.0000, 0.0000, 0.8868)  3 Os 2.80
Th (0.3333, 0.6667, 0.5534)  3 Os 2.80
Th (0.3333, 0.6667, 0.7799)  3 Os 2.80
Th (0.6667, 0.3333, 0.2201)  3 Os 2.80
Th (0.6667, 0.3333, 0.4466)  3 Os 2.80
Os (0.0000, 0.0000, 0.5000)  6 Th 2.80
Os (0.3333, 0.6667, 0.1667)  6 Th 2.80
Os (0.6667, 0.3333, 0.8333)  6 Th 2.80

5.
Computed, not measured: a relaxed structure of SiBi3I at the PBE level of DFT.

## Properties
As for the electronic total energy: -0.1733 Ry/atom. The formation energy (no corrections) is 1.365 eV per atom. The calculation puts the energy relative to the lowest polymorph listed for this composition at 0.842 eV/atom. The theoretical density is 6.34 g cm⁻³.

Lattice parameters (Å, degrees): 5.8946 5.8946 5.8946 90.00 90.00 90.00
With the nearest neighbours (Å) after each atom.
Sites, in units of the cell vectors:
Si (0.0000, 0.0000, 0.0000)  12 Bi 4.17
Bi (0.0000, 0.5000, 0.5000)  2 I 2.95
Bi (0.5000, 0.0000, 0.5000)  2 I 2.95
Bi (0.5000, 0.5000, 0.0000)  2 I 2.95
I (0.5000, 0.5000, 0.5000)  6 Bi 2.95

6.
Computed, not measured: a relaxed structure of La6HRu3 at the PBE level of DFT.

## Properties
As for the electronic total energy: -0.4688 Ry/atom. The theoretical density is 7.19 g cm⁻³.

Lattice parameters (Å, degrees): 6.8758 7.3683 12.4194 90.00 123.42 90.00
With the nearest neighbours (Å) after each atom.
Sites, in units of the cell vectors:
La (0.0785, 0.0283, 0.2402)  3 Ru 2.73-2.92, 1 H 2.73
La (0.0785, 0.4717, 0.7402)  3 Ru 2.73-2.92, 1 H 2.73
La (0.2336, 0.6627, 0.0735)  2 Ru 2.73-2.82, 1 H 2.82
La (0.2336, 0.8373, 0.5735)  2 Ru 2.73-2.82, 1 H 2.82
La (0.4015, 0.1654, 0.0813)  1 H 2.66, 2 Ru 2.85-2.88
La (0.4015, 0.3346, 0.5813)  1 H 2.66, 2 Ru 2.85-2.88
La (0.5985, 0.6654, 0.4187)  1 H 2.66, 2 Ru 2.85-2.88
La (0.5985, 0.8346, 0.9187)  1 H 2.66, 2 Ru 2.85-2.88
La (0.7664, 0.1627, 0.4265)  2 Ru 2.73-2.82, 1 H 2.82
La (0.7664, 0.3373, 0.9265)  2 Ru 2.73-2.82, 1 H 2.82
La (0.9215, 0.5283, 0.2598)  3 Ru 2.73-2.92, 1 H 2.73
La (0.9215, 0.9717, 0.7598)  3 Ru 2.73-2.92, 1 H 2.73
H (0.0000, 0.0000, 0.0000)  6 La 2.66-2.82
H (0.0000, 0.5000, 0.5000)  6 La 2.66-2.82
Ru (0.3335, 0.1590, 0.8115)  4 La 2.73-2.89
Ru (0.3335, 0.3410, 0.3115)  4 La 2.73-2.89
Ru (0.5000, 0.0000, 0.5000)  6 La 2.73-2.92
Ru (0.5000, 0.5000, 0.0000)  6 La 2.73-2.92
Ru (0.6665, 0.6590, 0.6885)  4 La 2.73-2.89
Ru (0.6665, 0.8410, 0.1885)  4 La 2.73-2.89

7.
Computed, not measured: a relaxed structure of NaPaVN3 at the PBE level of DFT.

## Properties
As for the electronic total energy: -0.6264 Ry/atom. The formation energy (no corrections) is -1.037 eV per atom. The theoretical density is 7.15 g cm⁻³.

Lattice parameters (Å, degrees): 6.8113 6.8113 6.7662 103.48 103.48 31.95
With the nearest neighbours (Å) after each atom.
Sites, in units of the cell vectors:
Na (0.1578, 0.1578, 0.0796)  6 N 2.52-2.74
Na (0.8422, 0.8422, 0.9204)  6 N 2.52-2.74
Pa (0.1471, 0.1471, 0.5725)  7 N 2.30-2.50
Pa (0.8529, 0.8529, 0.4275)  7 N 2.30-2.50
V (0.4965, 0.4965, 0.2223)  3 N 1.83-1.91
V (0.5035, 0.5035, 0.7777)  3 N 1.83-1.91
N (0.0103, 0.0103, 0.2786)  2 V 1.91
N (0.3270, 0.3270, 0.6188)  3 Pa 2.30-2.35, 1 V 2.30
N (0.3552, 0.3552, 0.2092)  1 V 1.83
N (0.6448, 0.6448, 0.7908)  1 V 1.83
N (0.6730, 0.6730, 0.3812)  3 Pa 2.30-2.35, 1 V 2.30
N (0.9897, 0.9897, 0.7214)  2 V 1.91

8.
Computed, not measured: a relaxed structure of NpTl2CdS4 at the PBE level of DFT.

## Properties
As for the electronic total energy: -0.3779 Ry/atom. The formation energy (no corrections) is -0.755 eV per atom. The theoretical density is 7.13 g cm⁻³.

Lattice parameters (Å, degrees): 6.8367 4.0248 7.8974 90.00 108.11 90.00
With the nearest neighbours (Å) after each atom.
Sites, in units of the cell vectors:
Np (0.0000, 0.0000, 0.0000)  6 S 2.69-2.71
Tl (0.0000, 0.5000, 0.5000)  6 S 3.15-3.23
Tl (0.5000, 0.0000, 0.5000)  6 S 3.24-3.31
Cd (0.5000, 0.5000, 0.0000)  6 S 2.74-2.86
S (0.2177, 0.5000, 0.2025)  2 Np 2.71, 1 Cd 2.86
S (0.2615, 0.0000, 0.8062)  1 Np 2.69, 2 Cd 2.74
S (0.7385, 0.0000, 0.1938)  1 Np 2.69, 2 Cd 2.74
S (0.7823, 0.5000, 0.7975)  2 Np 2.71, 1 Cd 2.86

9.
Computed, not measured: a relaxed structure of Ho2GaFe2Co5 at the PBE level of DFT.

## Properties
As for the electronic total energy: -0.4797 Ry/atom. As for the formation energy: -0.0629 eV/atom. The theoretical density is 9.19 g cm⁻³.

Lattice parameters (Å, degrees): 8.9896 8.9896 3.6035 90.00 90.00 90.00
With the nearest neighbours (Å) after each atom.
Sites, in units of the cell vectors:
Ho (0.1825, 0.3175, 0.0000)  3 Fe 2.58-2.74
Ho (0.3175, 0.8175, 0.0000)  3 Fe 2.58-2.74
Ho (0.6825, 0.1825, 0.0000)  3 Fe 2.58-2.74
Ho (0.8175, 0.6825, 0.0000)  3 Fe 2.58-2.74
Ga (0.0000, 0.0000, 0.0000)  8 Co 2.65
Ga (0.5000, 0.5000, 0.0000)  8 Co 2.65
Fe (0.1149, 0.6149, 0.0000)  6 Co 2.32-2.46, 1 Ho 2.58
Fe (0.3851, 0.1149, 0.0000)  6 Co 2.32-2.46, 1 Ho 2.58
Fe (0.6149, 0.8851, 0.0000)  6 Co 2.32-2.46, 1 Ho 2.58
Fe (0.8851, 0.3851, 0.0000)  6 Co 2.32-2.46, 1 Ho 2.58
Co (0.0000, 0.5000, 0.5000)  4 Fe 2.32
Co (0.0578, 0.7923, 0.5000)  2 Fe 2.46, 2 Ga 2.65, 3 Co 2.68-2.74
Co (0.2077, 0.0578, 0.5000)  2 Fe 2.46, 2 Ga 2.65, 3 Co 2.68-2.74
Co (0.2923, 0.5578, 0.5000)  2 Fe 2.46, 2 Ga 2.65, 3 Co 2.68-2.74
Co (0.4422, 0.2923, 0.5000)  2 Fe 2.46, 2 Ga 2.65, 3 Co 2.68-2.74
Co (0.5000, 0.0000, 0.5000)  4 Fe 2.32
Co (0.5578, 0.7077, 0.5000)  2 Fe 2.46, 2 Ga 2.65, 3 Co 2.68-2.74
Co (0.7077, 0.4422, 0.5000)  2 Fe 2.46, 2 Ga 2.65, 3 Co 2.68-2.74
Co (0.7923, 0.9422, 0.5000)  2 Fe 2.46, 2 Ga 2.65, 3 Co 2.68-2.74
Co (0.9422, 0.2077, 0.5000)  2 Fe 2.46, 2 Ga 2.65, 3 Co 2.68-2.74

10.
Computed, not measured: a relaxed structure of Pr5Sm2Dy12 at the PBE level of DFT.

## Properties
As for the electronic total energy: -0.3269 Ry/atom. As for the formation energy: 0.2140 eV/atom. The theoretical density is 7.62 g cm⁻³.

Lattice parameters (Å, degrees): 10.0721 10.0721 8.7345 113.17 113.17 54.10
With the nearest neighbours (Å) after each atom.
Sites, in units of the cell vectors:
Pr (0.0000, 0.0000, 0.0000)  6 Dy 3.21-3.55
Pr (0.2365, 0.2365, 0.7971)  5 Dy 3.12-3.47
Pr (0.2829, 0.2829, 0.2708)  8 Dy 3.60-3.94, 1 Pr 3.84, 2 Sm 3.84
Pr (0.7171, 0.7171, 0.7292)  8 Dy 3.60-3.94, 1 Pr 3.84, 2 Sm 3.84
Pr (0.7635, 0.7635, 0.2029)  5 Dy 3.12-3.47
Sm (0.3282, 0.6718, 0.5000)  1 Sm 3.15, 6 Dy 3.32-3.52
Sm (0.6718, 0.3282, 0.5000)  1 Sm 3.15, 6 Dy 3.32-3.52
Dy (0.0375, 0.6712, 0.5904)  1 Sm 3.32, 4 Dy 3.33-3.58, 2 Pr 3.47-3.60
Dy (0.0456, 0.0456, 0.6837)  1 Dy 2.89, 2 Pr 3.12-3.21
Dy (0.1582, 0.5943, 0.0476)  2 Pr 3.20-3.55, 2 Dy 3.35-3.56
Dy (0.3288, 0.9625, 0.4096)  1 Sm 3.32, 4 Dy 3.33-3.58, 2 Pr 3.47-3.60
Dy (0.4057, 0.8418, 0.9524)  2 Pr 3.20-3.55, 2 Dy 3.35-3.56
Dy (0.4338, 0.4338, 0.7795)  7 Dy 3.33-3.65, 2 Sm 3.52, 1 Pr 3.61
Dy (0.5662, 0.5662, 0.2205)  7 Dy 3.33-3.65, 2 Sm 3.52, 1 Pr 3.61
Dy (0.5943, 0.1582, 0.0476)  2 Pr 3.20-3.55, 2 Dy 3.35-3.56
Dy (0.6712, 0.0375, 0.5904)  1 Sm 3.32, 4 Dy 3.33-3.58, 2 Pr 3.47-3.60
Dy (0.8418, 0.4057, 0.9524)  2 Pr 3.20-3.55, 2 Dy 3.35-3.56
Dy (0.9544, 0.9544, 0.3163)  1 Dy 2.89, 2 Pr 3.12-3.21
Dy (0.9625, 0.3288, 0.4096)  1 Sm 3.32, 4 Dy 3.33-3.58, 2 Pr 3.47-3.60

11.
Computed, not measured: a relaxed structure of AcTb3Pm6Ho2 at the PBE level of DFT.

## Properties
As for the electronic total energy: -0.3390 Ry/atom. As for the formation energy: 0.0264 eV/atom. The theoretical density is 7.76 g cm⁻³.

Lattice parameters (Å, degrees): 6.2972 6.2972 12.0501 95.01 95.01 119.99
With the nearest neighbours (Å) after each atom.
Sites, in units of the cell vectors:
Ac (0.0000, 0.0000, 0.0000)  6 Ho 3.64, 6 Pm 3.68-3.69
Tb (0.1672, 0.8328, 0.5000)  6 Pm 3.58-3.60, 6 Tb 3.63-3.65
Tb (0.5000, 0.5000, 0.5000)  6 Pm 3.58-3.60, 6 Tb 3.63-3.64
Tb (0.8328, 0.1672, 0.5000)  6 Pm 3.58-3.60, 6 Tb 3.63-3.65
Pm (0.0844, 0.4211, 0.2537)  3 Tb 3.58-3.60, 6 Pm 3.62-3.67, 2 Ho 3.66-3.67, 1 Ac 3.68
Pm (0.2518, 0.2518, 0.7460)  3 Tb 3.58-3.60, 6 Pm 3.62-3.67, 2 Ho 3.67, 1 Ac 3.69
Pm (0.4211, 0.0844, 0.2537)  3 Tb 3.58-3.60, 6 Pm 3.62-3.67, 2 Ho 3.66-3.67, 1 Ac 3.68
Pm (0.5789, 0.9156, 0.7463)  3 Tb 3.58-3.60, 6 Pm 3.62-3.67, 2 Ho 3.66-3.67, 1 Ac 3.68
Pm (0.7482, 0.7482, 0.2540)  3 Tb 3.58-3.60, 6 Pm 3.62-3.67, 2 Ho 3.67, 1 Ac 3.69
Pm (0.9156, 0.5789, 0.7463)  3 Tb 3.58-3.60, 6 Pm 3.62-3.67, 2 Ho 3.66-3.67, 1 Ac 3.68
Ho (0.3335, 0.6665, 0.0000)  3 Ho 3.63-3.64, 3 Ac 3.64, 6 Pm 3.66-3.67
Ho (0.6665, 0.3335, 0.0000)  3 Ho 3.63-3.64, 3 Ac 3.64, 6 Pm 3.66-3.67

Which of these has the highest electronic total energy?
SiBi3I

Look up the electronic total energy of the fourth one.
-0.5487 Ry/atom

Among the records above, which one has the lowest electronic total energy?
NaPaVN3